1.
A relaxed Na2BeP crystal. Source: the Alexandria database, functional PBE.

Summary:
Fermi-level density of states ... 6.92 states/eV/cell
E_form ... 0.42 eV/atom
ΔE to the lowest computed polymorph ... 467.2 meV per atom

Geometry as CIF:
```
data_Na2BeP
_chemical_formula_sum 'Na8 Be4 P4'
_cell_length_a 6.679
_cell_length_b 6.679
_cell_length_c 6.679
_cell_angle_alpha 90.00
_cell_angle_beta 90.00
_cell_angle_gamma 90.00
_symmetry_space_group_name_H-M 'F m -3 m'
_symmetry_Int_Tables_number 225
_symmetry_space_group_name_Hall '-F 4 2 3'
loop_
_atom_site_label
_atom_site_type_symbol
_atom_site_fract_x
_atom_site_fract_y
_atom_site_fract_z
Na1 Na 0.250 0.250 0.250
Be1 Be 0.000 0.000 0.000
P1 P 0.000 0.000 0.500
```

---

2.
A relaxed La5Pt crystal. Source: the Alexandria database, functional PBE.

Summary:
Fermi-level density of states ... 16.71 states/eV/cell
E_form ... -0.34 eV/atom
ΔE to the lowest computed polymorph ... 11.8 meV per atom

Geometry as CIF:
```
data_La5Pt
_chemical_formula_sum 'La10 Pt2'
_cell_length_a 5.858
_cell_length_b 17.592
_cell_length_c 3.857
_cell_angle_alpha 90.00
_cell_angle_beta 90.00
_cell_angle_gamma 90.00
_symmetry_space_group_name_H-M 'C m m m'
_symmetry_Int_Tables_number 65
_symmetry_space_group_name_Hall '-C 2 2'
loop_
_atom_site_label
_atom_site_type_symbol
_atom_site_fract_x
_atom_site_fract_y
_atom_site_fract_z
La1 La 0.000 0.000 0.000
La2 La 0.000 0.185 0.500
La3 La 0.000 0.374 0.000
Pt1 Pt 0.000 0.500 0.500
```

---

3.
A relaxed K2CdPb6 crystal. Source: the Alexandria database, functional PBE.

Summary:
Fermi-level density of states ... 4.61 states/eV/cell
E_form ... -0.10 eV/atom

Geometry as CIF:
```
data_K2CdPb6
_chemical_formula_sum 'K2 Cd1 Pb6'
_cell_length_a 7.2153
_cell_length_b 7.2153
_cell_length_c 6.8238
_cell_angle_alpha 90.00
_cell_angle_beta 90.00
_cell_angle_gamma 120.00
_symmetry_space_group_name_H-M 'P -3 m 1'
_symmetry_Int_Tables_number 164
_symmetry_space_group_name_Hall '-P 3 2"'
loop_
_atom_site_label
_atom_site_type_symbol
_atom_site_fract_x
_atom_site_fract_y
_atom_site_fract_z
K1 K 0.3333 0.6667 0.1503
Cd1 Cd 0.0000 0.0000 0.0000
Pb1 Pb 0.1734 0.3467 0.6695
```

---

4.
A relaxed PmNdCuSi crystal. Source: the Alexandria database, functional PBE.

Summary:
Fermi-level density of states ... 14.36 states/eV/cell
Raw formation energy ... -0.374 eV/atom
ΔE to the lowest computed polymorph ... 84.7 meV per atom

Geometry as CIF:
```
data_PmNdCuSi
_chemical_formula_sum 'Pm4 Nd4 Cu4 Si4'
_cell_length_a 7.206
_cell_length_b 7.206
_cell_length_c 7.206
_cell_angle_alpha 90.00
_cell_angle_beta 90.00
_cell_angle_gamma 90.00
_symmetry_space_group_name_H-M 'F -4 3 m'
_symmetry_Int_Tables_number 216
_symmetry_space_group_name_Hall 'F -4 2 3'
loop_
_atom_site_label
_atom_site_type_symbol
_atom_site_fract_x
_atom_site_fract_y
_atom_site_fract_z
Pm1 Pm 0.000 0.000 0.000
Nd1 Nd 0.000 0.000 0.500
Cu1 Cu 0.250 0.250 0.250
Si1 Si 0.250 0.250 0.750
```

---

5.
A relaxed La2Sm2Dy2Y crystal. Source: the Alexandria database, functional PBE.

Summary:
Fermi-level density of states ... 22.91 states/eV/cell
E_form ... 0.03 eV/atom

Geometry as CIF:
```
data_La2Sm2Dy2Y
_chemical_formula_sum 'La4 Sm4 Dy4 Y2'
_cell_length_a 11.506
_cell_length_b 5.150
_cell_length_c 8.097
_cell_angle_alpha 90.00
_cell_angle_beta 98.31
_cell_angle_gamma 90.00
_symmetry_space_group_name_H-M 'C 1 2/m 1'
_symmetry_Int_Tables_number 12
_symmetry_space_group_name_Hall '-C 2y'
loop_
_atom_site_label
_atom_site_type_symbol
_atom_site_fract_x
_atom_site_fract_y
_atom_site_fract_z
La1 La 0.143 0.000 0.428
Sm1 Sm 0.071 0.500 0.719
Dy1 Dy 0.215 0.500 0.138
Y1 Y 0.000 0.000 0.000
```

---

6.
A relaxed GdDyMgPd crystal. Source: the Alexandria database, functional PBE.

Summary:
Fermi-level density of states ... 11.02 states/eV/cell
E_form ... -0.39 eV/atom

Geometry as CIF:
```
data_GdDyMgPd
_chemical_formula_sum 'Gd4 Dy4 Mg4 Pd4'
_cell_length_a 7.294
_cell_length_b 7.294
_cell_length_c 7.294
_cell_angle_alpha 90.00
_cell_angle_beta 90.00
_cell_angle_gamma 90.00
_symmetry_space_group_name_H-M 'F -4 3 m'
_symmetry_Int_Tables_number 216
_symmetry_space_group_name_Hall 'F -4 2 3'
loop_
_atom_site_label
_atom_site_type_symbol
_atom_site_fract_x
_atom_site_fract_y
_atom_site_fract_z
Gd1 Gd 0.000 0.000 0.000
Dy1 Dy 0.000 0.000 0.500
Mg1 Mg 0.250 0.250 0.750
Pd1 Pd 0.250 0.250 0.250
```

---

7.
A relaxed Pm6Rh2N crystal. Source: the Alexandria database, functional PBE.

Summary:
Fermi-level density of states ... 12.93 states/eV/cell
Raw formation energy ... -0.486 eV/atom
ΔE to the lowest computed polymorph ... 198.7 meV per atom

Geometry as CIF:
```
data_Pm6Rh2N
_chemical_formula_sum 'Pm12 Rh4 N2'
_cell_length_a 13.152
_cell_length_b 3.783
_cell_length_c 11.057
_cell_angle_alpha 90.00
_cell_angle_beta 111.81
_cell_angle_gamma 90.00
_symmetry_space_group_name_H-M 'C 1 2/m 1'
_symmetry_Int_Tables_number 12
_symmetry_space_group_name_Hall '-C 2y'
loop_
_atom_site_label
_atom_site_type_symbol
_atom_site_fract_x
_atom_site_fract_y
_atom_site_fract_z
Pm1 Pm 0.011 0.000 0.287
Pm2 Pm 0.152 0.500 0.051
Pm3 Pm 0.187 0.000 0.609
Rh1 Rh 0.177 0.500 0.810
N1 N 0.000 0.000 0.500
```

---

8.
A relaxed Ti3Ga7 crystal. Source: the Alexandria database, functional PBE.

Summary:
Fermi-level density of states ... 10.58 states/eV/cell
E_form ... -0.40 eV/atom

Geometry as CIF:
```
data_Ti3Ga7
_chemical_formula_sum 'Ti6 Ga14'
_cell_length_a 14.699
_cell_length_b 3.885
_cell_length_c 5.615
_cell_angle_alpha 90.00
_cell_angle_beta 99.28
_cell_angle_gamma 90.00
_symmetry_space_group_name_H-M 'C 1 2/m 1'
_symmetry_Int_Tables_number 12
_symmetry_space_group_name_Hall '-C 2y'
loop_
_atom_site_label
_atom_site_type_symbol
_atom_site_fract_x
_atom_site_fract_y
_atom_site_fract_z
Ti1 Ti 0.000 0.000 0.000
Ti2 Ti 0.186 0.000 0.594
Ga1 Ga 0.000 0.000 0.500
Ga2 Ga 0.094 0.500 0.796
Ga3 Ga 0.109 0.500 0.290
Ga4 Ga 0.209 0.000 0.109
```

---

9.
A relaxed Ba5Fe crystal. Source: the Alexandria database, functional PBE.

Summary:
Fermi-level density of states ... 13.42 states/eV/cell
E_form ... 0.48 eV/atom
ΔE to the lowest computed polymorph ... 165.5 meV per atom

Geometry as CIF:
```
data_Ba5Fe
_chemical_formula_sum 'Ba5 Fe1'
_cell_length_a 7.2777
_cell_length_b 7.2777
_cell_length_c 6.4411
_cell_angle_alpha 90.00
_cell_angle_beta 90.00
_cell_angle_gamma 120.00
_symmetry_space_group_name_H-M 'P -6 2 m'
_symmetry_Int_Tables_number 189
_symmetry_space_group_name_Hall 'P -6 -2'
loop_
_atom_site_label
_atom_site_type_symbol
_atom_site_fract_x
_atom_site_fract_y
_atom_site_fract_z
Ba1 Ba 0.0000 0.6953 0.0000
Ba2 Ba 0.3333 0.6667 0.5000
Fe1 Fe 0.0000 0.0000 0.5000
```

---

10.
A relaxed Li4DyCd crystal. Source: the Alexandria database, functional PBE.

Summary:
Fermi-level density of states ... 15.20 states/eV/cell
E_form ... -0.06 eV/atom

Geometry as CIF:
```
data_Li4DyCd
_chemical_formula_sum 'Li16 Dy4 Cd4'
_cell_length_a 7.785
_cell_length_b 7.785
_cell_length_c 7.785
_cell_angle_alpha 90.00
_cell_angle_beta 90.00
_cell_angle_gamma 90.00
_symmetry_space_group_name_H-M 'F -4 3 m'
_symmetry_Int_Tables_number 216
_symmetry_space_group_name_Hall 'F -4 2 3'
loop_
_atom_site_label
_atom_site_type_symbol
_atom_site_fract_x
_atom_site_fract_y
_atom_site_fract_z
Li1 Li 0.123 0.123 0.377
Dy1 Dy 0.000 0.000 0.000
Cd1 Cd 0.250 0.250 0.750
```

---

11.
A relaxed GaTe2IrN crystal. Source: the Alexandria database, functional PBE.

Summary:
Fermi-level density of states ... 5.74 states/eV/cell
Raw formation energy ... 1.082 eV/atom
ΔE to the lowest computed polymorph ... 820.7 meV per atom

Geometry as CIF:
```
data_GaTe2IrN
_chemical_formula_sum 'Ga1 Te2 Ir1 N1'
_cell_length_a 5.441
_cell_length_b 5.441
_cell_length_c 3.460
_cell_angle_alpha 90.00
_cell_angle_beta 90.00
_cell_angle_gamma 90.00
_symmetry_space_group_name_H-M 'P 4/m m m'
_symmetry_Int_Tables_number 123
_symmetry_space_group_name_Hall '-P 4 2'
loop_
_atom_site_label
_atom_site_type_symbol
_atom_site_fract_x
_atom_site_fract_y
_atom_site_fract_z
Ga1 Ga 0.000 0.000 0.000
Te1 Te 0.000 0.500 0.000
Ir1 Ir 0.500 0.500 0.500
N1 N 0.000 0.000 0.500
```

---

12.
A relaxed Nb2TeP2 crystal. Source: the Alexandria database, functional PBE.

Summary:
Fermi-level density of states ... 9.88 states/eV/cell
Raw formation energy ... -0.457 eV/atom
ΔE to the lowest computed polymorph ... 17.0 meV per atom

Geometry as CIF:
```
data_Nb2TeP2
_chemical_formula_sum 'Nb4 Te2 P4'
_cell_length_a 4.641
_cell_length_b 4.641
_cell_length_c 8.560
_cell_angle_alpha 90.00
_cell_angle_beta 90.00
_cell_angle_gamma 90.00
_symmetry_space_group_name_H-M 'I 4/m m m'
_symmetry_Int_Tables_number 139
_symmetry_space_group_name_Hall '-I 4 2'
loop_
_atom_site_label
_atom_site_type_symbol
_atom_site_fract_x
_atom_site_fract_y
_atom_site_fract_z
Nb1 Nb 0.000 0.500 0.250
Te1 Te 0.000 0.000 0.000
P1 P 0.000 0.000 0.370
```

---

13.
A relaxed Cd3Hg12F5 crystal. Source: the Alexandria database, functional PBE.

Summary:
Fermi-level density of states ... 92.29 states/eV/cell
Raw formation energy ... -0.468 eV/atom

Geometry as CIF:
```
data_Cd3Hg12F5
_chemical_formula_sum 'Cd24 Hg96 F40'
_cell_length_a 16.145
_cell_length_b 16.145
_cell_length_c 16.145
_cell_angle_alpha 90.00
_cell_angle_beta 90.00
_cell_angle_gamma 90.00
_symmetry_space_group_name_H-M 'I a -3 d'
_symmetry_Int_Tables_number 230
_symmetry_space_group_name_Hall '-I 4bd 2c 3'
loop_
_atom_site_label
_atom_site_type_symbol
_atom_site_fract_x
_atom_site_fract_y
_atom_site_fract_z
Cd1 Cd 0.000 0.250 0.125
Hg1 Hg 0.028 0.074 0.650
F1 F 0.000 0.000 0.000
F2 F 0.000 0.250 0.375
```

---

14.
A relaxed Si23S4 crystal. Source: the Alexandria database, functional PBE.

Summary:
Fermi-level density of states ... 51.38 states/eV/cell
Raw formation energy ... 0.305 eV/atom

Geometry as CIF:
```
data_Si23S4
_chemical_formula_sum 'Si46 S8'
_cell_length_a 10.131
_cell_length_b 10.131
_cell_length_c 10.131
_cell_angle_alpha 90.00
_cell_angle_beta 90.00
_cell_angle_gamma 90.00
_symmetry_space_group_name_H-M 'P m -3 n'
_symmetry_Int_Tables_number 223
_symmetry_space_group_name_Hall '-P 4n 2 3'
loop_
_atom_site_label
_atom_site_type_symbol
_atom_site_fract_x
_atom_site_fract_y
_atom_site_fract_z
Si1 Si 0.000 0.115 0.313
Si2 Si 0.000 0.250 0.500
Si3 Si 0.182 0.182 0.182
S1 S 0.000 0.000 0.000
S2 S 0.000 0.500 0.250
```

---

15.
A relaxed SiAgMo3 crystal. Source: the Alexandria database, functional PBE.

Summary:
Fermi-level density of states ... 9.07 states/eV/cell
Raw formation energy ... 2.546 eV/atom
ΔE to the lowest computed polymorph ... 1434.3 meV per atom

Geometry as CIF:
```
data_SiAgMo3
_chemical_formula_sum 'Si1 Ag1 Mo3'
_cell_length_a 4.769
_cell_length_b 4.769
_cell_length_c 4.769
_cell_angle_alpha 90.00
_cell_angle_beta 90.00
_cell_angle_gamma 90.00
_symmetry_space_group_name_H-M 'P m -3 m'
_symmetry_Int_Tables_number 221
_symmetry_space_group_name_Hall '-P 4 2 3'
loop_
_atom_site_label
_atom_site_type_symbol
_atom_site_fract_x
_atom_site_fract_y
_atom_site_fract_z
Si1 Si 0.000 0.000 0.000
Ag1 Ag 0.500 0.500 0.500
Mo1 Mo 0.000 0.500 0.500
```

---

16.
A relaxed FeAsSe2 crystal. Source: the Alexandria database, functional PBE.

Summary:
Fermi-level density of states ... 2.75 states/eV/cell
Raw formation energy ... 0.183 eV/atom

Geometry as CIF:
```
data_FeAsSe2
_chemical_formula_sum 'Fe1 As1 Se2'
_cell_length_a 3.485
_cell_length_b 3.485
_cell_length_c 6.949
_cell_angle_alpha 90.00
_cell_angle_beta 90.00
_cell_angle_gamma 90.00
_symmetry_space_group_name_H-M 'P 4 m m'
_symmetry_Int_Tables_number 99
_symmetry_space_group_name_Hall 'P 4 -2'
loop_
_atom_site_label
_atom_site_type_symbol
_atom_site_fract_x
_atom_site_fract_y
_atom_site_fract_z
Fe1 Fe 0.000 0.000 0.000
As1 As 0.500 0.500 0.800
Se1 Se 0.000 0.000 0.632
Se2 Se 0.500 0.500 0.175
```

---

17.
A relaxed PrHoLuMg crystal. Source: the Alexandria database, functional PBE.

Summary:
Fermi-level density of states ... 17.10 states/eV/cell
E_form ... 0.02 eV/atom

Geometry as CIF:
```
data_PrHoLuMg
_chemical_formula_sum 'Pr4 Ho4 Lu4 Mg4'
_cell_length_a 7.816
_cell_length_b 7.816
_cell_length_c 7.816
_cell_angle_alpha 90.00
_cell_angle_beta 90.00
_cell_angle_gamma 90.00
_symmetry_space_group_name_H-M 'F -4 3 m'
_symmetry_Int_Tables_number 216
_symmetry_space_group_name_Hall 'F -4 2 3'
loop_
_atom_site_label
_atom_site_type_symbol
_atom_site_fract_x
_atom_site_fract_y
_atom_site_fract_z
Pr1 Pr 0.000 0.000 0.000
Ho1 Ho 0.000 0.000 0.500
Lu1 Lu 0.250 0.250 0.250
Mg1 Mg 0.250 0.250 0.750
```

---

18.
A relaxed Ti2Sb2Pd crystal. Source: the Alexandria database, functional PBE.

Summary:
Fermi-level density of states ... 8.47 states/eV/cell
Raw formation energy ... -0.256 eV/atom
ΔE to the lowest computed polymorph ... 67.3 meV per atom

Geometry as CIF:
```
data_Ti2Sb2Pd
_chemical_formula_sum 'Ti4 Sb4 Pd2'
_cell_length_a 7.137
_cell_length_b 7.137
_cell_length_c 3.879
_cell_angle_alpha 90.00
_cell_angle_beta 90.00
_cell_angle_gamma 90.00
_symmetry_space_group_name_H-M 'P 4/m b m'
_symmetry_Int_Tables_number 127
_symmetry_space_group_name_Hall '-P 4 2ab'
loop_
_atom_site_label
_atom_site_type_symbol
_atom_site_fract_x
_atom_site_fract_y
_atom_site_fract_z
Ti1 Ti 0.140 0.360 0.000
Sb1 Sb 0.165 0.665 0.500
Pd1 Pd 0.000 0.000 0.000
```

---

19.
A relaxed CaCuIr2 crystal. Source: the Alexandria database, functional PBE.

Summary:
Fermi-level density of states ... 21.25 states/eV/cell
E_form ... 0.21 eV/atom
ΔE to the lowest computed polymorph ... 186.4 meV per atom

Geometry as CIF:
```
data_CaCuIr2
_chemical_formula_sum 'Ca4 Cu4 Ir8'
_cell_length_a 6.411
_cell_length_b 6.411
_cell_length_c 6.411
_cell_angle_alpha 90.00
_cell_angle_beta 90.00
_cell_angle_gamma 90.00
_symmetry_space_group_name_H-M 'F -4 3 m'
_symmetry_Int_Tables_number 216
_symmetry_space_group_name_Hall 'F -4 2 3'
loop_
_atom_site_label
_atom_site_type_symbol
_atom_site_fract_x
_atom_site_fract_y
_atom_site_fract_z
Ca1 Ca 0.000 0.000 0.000
Cu1 Cu 0.250 0.250 0.250
Ir1 Ir 0.000 0.000 0.500
Ir2 Ir 0.250 0.250 0.750
```

---

20.
A relaxed PuBeNi crystal. Source: the Alexandria database, functional PBE.

Summary:
Fermi-level density of states ... 9.04 states/eV/cell
E_form ... 0.04 eV/atom
ΔE to the lowest computed polymorph ... 55.9 meV per atom

Geometry as CIF:
```
data_PuBeNi
_chemical_formula_sum 'Pu2 Be2 Ni2'
_cell_length_a 2.494
_cell_length_b 2.494
_cell_length_c 11.768
_cell_angle_alpha 90.00
_cell_angle_beta 90.00
_cell_angle_gamma 90.00
_symmetry_space_group_name_H-M 'I 4 m m'
_symmetry_Int_Tables_number 107
_symmetry_space_group_name_Hall 'I 4 -2'
loop_
_atom_site_label
_atom_site_type_symbol
_atom_site_fract_x
_atom_site_fract_y
_atom_site_fract_z
Pu1 Pu 0.000 0.000 0.000
Be1 Be 0.000 0.000 0.311
Ni1 Ni 0.000 0.000 0.698
```

---

21.
A relaxed CdAgAu4 crystal. Source: the Alexandria database, functional PBE.

Summary:
Fermi-level density of states ... 7.67 states/eV/cell
E_form ... -0.01 eV/atom
ΔE to the lowest computed polymorph ... 43.9 meV per atom

Geometry as CIF:
```
data_CdAgAu4
_chemical_formula_sum 'Cd4 Ag4 Au16'
_cell_length_a 7.823
_cell_length_b 7.823
_cell_length_c 7.823
_cell_angle_alpha 90.00
_cell_angle_beta 90.00
_cell_angle_gamma 90.00
_symmetry_space_group_name_H-M 'F -4 3 m'
_symmetry_Int_Tables_number 216
_symmetry_space_group_name_Hall 'F -4 2 3'
loop_
_atom_site_label
_atom_site_type_symbol
_atom_site_fract_x
_atom_site_fract_y
_atom_site_fract_z
Cd1 Cd 0.000 0.000 0.000
Ag1 Ag 0.250 0.250 0.250
Au1 Au 0.125 0.125 0.625
```